No. 1
This record from Alexandria via LeMat-Bulk describes TaAg2Sb after structural relaxation. The functional is GGA-PBE.

Unit cell a=3.0017 b=3.0017 c=9.1277 alpha=90.00 beta=90.00 gamma=90.00
With the nearest neighbours (Å) after each atom.
Space group P4mm (No. 99)
Symmetry-distinct sites (fractional):
Ta (0.0000, 0.0000, 0.0000) (multiplicity 1)  4 Ag 2.96, 4 Ta 3.00, 4 Sb 3.03
Ag (0.0000, 0.0000, 0.4480) (multiplicity 1)  8 Ag 2.94-3.00
Ag (0.5000, 0.5000, 0.2256) (multiplicity 1)  8 Ag 2.94-3.00, 4 Ta 2.96
Sb (0.5000, 0.5000, 0.7628) (multiplicity 1)  4 Sb 3.00, 4 Ta 3.03

* formation energy from raw total energies: 249.6 meV/atom

***

No. 2
This record from Alexandria via LeMat-Bulk describes Cu3N after structural relaxation. The functional is GGA-PBE.

Unit cell a=7.4203 b=7.4203 c=7.3792 alpha=90.00 beta=90.00 gamma=90.00
With the nearest neighbours (Å) after each atom.
Space group P4/mmm (No. 123)
Symmetry-distinct sites (fractional):
Cu (0.0000, 0.2450, 0.0000) (multiplicity 4)  2 N 1.82-1.89
Cu (0.0000, 0.2478, 0.5000) (multiplicity 4)  2 N 1.84-1.87
Cu (0.0000, 0.5000, 0.2545) (multiplicity 4)  2 N 1.81-1.88
Cu (0.2540, 0.5000, 0.0000) (multiplicity 4)  2 N 1.83-1.88
Cu (0.3274, 0.3274, 0.3281) (multiplicity 8)  1 N 2.21
N (0.0000, 0.0000, 0.0000) (multiplicity 1)  4 Cu 1.82
N (0.0000, 0.0000, 0.5000) (multiplicity 1)  4 Cu 1.84
N (0.0000, 0.5000, 0.0000) (multiplicity 2)  6 Cu 1.88-1.89
N (0.0000, 0.5000, 0.5000) (multiplicity 2)  4 Cu 1.81-1.87
N (0.5000, 0.5000, 0.0000) (multiplicity 1)  4 Cu 1.83
N (0.5000, 0.5000, 0.5000) (multiplicity 1)  8 Cu 2.21

* formation energy from raw total energies: 482.2 meV/atom

***

No. 3
This record from Alexandria via LeMat-Bulk describes AgAsSe2Cl after structural relaxation. The functional is GGA-PBE.

Unit cell a=4.9916 b=4.9916 c=5.3026 alpha=90.00 beta=90.00 gamma=90.00
With the nearest neighbours (Å) after each atom.
Space group P4/mmm (No. 123)
Symmetry-distinct sites (fractional):
Ag (0.0000, 0.0000, 0.0000) (multiplicity 1)  4 Se 2.50, 2 As 2.65
As (0.0000, 0.0000, 0.5000) (multiplicity 1)  2 Ag 2.65
Se (0.0000, 0.5000, 0.0000) (multiplicity 2)  2 Ag 2.50
Cl (0.5000, 0.5000, 0.5000) (multiplicity 1)  4 As 3.53, 8 Se 3.64

* formation energy from raw total energies: 784.7 meV/atom

***

No. 4
This record from Alexandria via LeMat-Bulk describes TbV2Mo after structural relaxation. The functional is GGA-PBE.

Unit cell a=4.2830 b=4.2830 c=14.9448 alpha=90.00 beta=90.00 gamma=120.00
With the nearest neighbours (Å) after each atom.
Space group R-3m (No. 166, hexagonal axes)
Symmetry-distinct sites (fractional):
Tb (0.0000, 0.0000, 0.0000) (multiplicity 3)  8 V 3.04-3.15
V (0.0000, 0.0000, 0.2031) (multiplicity 6)  3 Mo 2.53, 3 V 2.70
Mo (0.0000, 0.0000, 0.5000) (multiplicity 3)  6 V 2.53

* formation energy: 0.317 eV/atom

***

No. 5
This record from Alexandria via LeMat-Bulk describes Ti3OsS after structural relaxation. The functional is GGA-PBE.

Unit cell a=4.3823 b=4.3823 c=4.3823 alpha=90.00 beta=90.00 gamma=90.00
With the nearest neighbours (Å) after each atom.
Space group Pm-3m (No. 221)
Symmetry-distinct sites (fractional):
Ti (0.0000, 0.0000, 0.5000) (multiplicity 3)  2 S 2.19
Os (0.5000, 0.5000, 0.5000) (multiplicity 1)  12 Ti 3.10
S (0.0000, 0.0000, 0.0000) (multiplicity 1)  6 Ti 2.19

* formation energy from raw total energies: -145.2 meV/atom

***

No. 6
This record from Alexandria via LeMat-Bulk describes NaHgN after structural relaxation. The functional is GGA-PBE.

Unit cell a=3.3561 b=3.3869 c=12.0685 alpha=88.59 beta=82.51 gamma=66.93
With the nearest neighbours (Å) after each atom.
Space group P-1 (No. 2)
Symmetry-distinct sites (fractional):
Na (0.2352, 0.1234, 0.3213) (multiplicity 2)  3 N 2.53-2.56
Hg (0.0260, 0.2660, 0.8871) (multiplicity 2)  6 Hg 3.14-3.39, 3 Na 3.19-3.24
N (0.4750, 0.5073, 0.5492) (multiplicity 2)  1 N 1.18

* formation energy from raw total energies: -110.6 meV/atom

***

No. 7
This record from Alexandria via LeMat-Bulk describes CaCdO2F after structural relaxation. The functional is GGA-PBE.

Unit cell a=4.0202 b=4.0202 c=6.0213 alpha=90.00 beta=90.00 gamma=90.00
With the nearest neighbours (Å) after each atom.
Space group P4/mmm (No. 123)
Symmetry-distinct sites (fractional):
Ca (0.0000, 0.0000, 0.0000) (multiplicity 1)  4 F 2.84, 2 Cd 3.01
Cd (0.0000, 0.0000, 0.5000) (multiplicity 1)  4 O 2.01
O (0.0000, 0.5000, 0.5000) (multiplicity 2)  2 Cd 2.01
F (0.5000, 0.5000, 0.0000) (multiplicity 1)  4 Ca 2.84

* formation energy from raw total energies: -944.7 meV/atom

***

No. 8
This record from Alexandria via LeMat-Bulk describes ReAsSe2 after structural relaxation. The functional is GGA-PBE.

Unit cell a=3.1649 b=4.5236 c=4.8350 alpha=90.00 beta=90.00 gamma=90.00
With the nearest neighbours (Å) after each atom.
Space group Pmmm (No. 47)
Symmetry-distinct sites (fractional):
Re (0.0000, 0.0000, 0.0000) (multiplicity 1)  4 Se 2.76, 4 As 2.89
As (0.5000, 0.0000, 0.5000) (multiplicity 1)  4 Se 2.76, 4 Re 2.89
Se (0.0000, 0.5000, 0.5000) (multiplicity 1)  4 As 2.76, 4 Se 2.89
Se (0.5000, 0.5000, 0.0000) (multiplicity 1)  4 Re 2.76, 4 Se 2.89

* formation energy from raw total energies: 879.7 meV/atom

***

> Which formula does entry 1 have?

TaAg2Sb